BaW3O GGA+U optimized geometry; crystal system = cubic; E above lowest polymorph = 2139 meV/atom
1.0
6.601 0.000 0.000
0.000 6.601 0.000
0.000 0.000 6.601
W O Ba
3 1 1
Cartesian
0.000 0.000 3.301
3.301 0.000 0.000
0.000 3.301 0.000
3.301 3.301 3.301
0.000 0.000 0.000